Material: RuPbSe2
Method: DFT, PBE
State: optimized geometry

D(E_F)	0.78	states/eV/atom
DFT total energy	-19.5	eV per cell
E_form (uncorrected)	0.108	eV/atom
spin magnetization	0.088	μB per cell

Cell lengths 3.1580, 3.1580, 8.9522 Å; angles 90.00, 90.00, 90.00 degrees
With the nearest neighbours (Å) after each atom.
Space group P4mm (No. 99)
Inequivalent atoms, fractional coordinates:
1 Ru 0.0000 0.0000 0.0000 x1  4 Se 2.54
2 Pb 0.5000 0.5000 0.7453 x1  4 Pb 3.16, 4 Ru 3.19, 5 Se 3.20-3.49
3 Se 0.0000 0.0000 0.4899 x1  4 Se 3.16, 4 Pb 3.20
4 Se 0.5000 0.5000 0.1350 x1  4 Ru 2.54

---

Material: RuPbSe2
Method: DFT, PBE
State: optimized geometry

D(E_F)	0.30	states/eV/atom
DFT total energy	-40.7	eV per cell
E_form (uncorrected)	-0.102	eV/atom
spin magnetization	0.000	μB per cell

Cell lengths 6.9738, 4.0348, 6.6764 Å; angles 90.00, 110.49, 90.00 degrees
With the nearest neighbours (Å) after each atom.
Space group C2/m (No. 12)
Inequivalent atoms, fractional coordinates:
1 Ru 0.0000 0.0000 0.0000 x2  6 Se 2.58
2 Pb 0.0000 0.5000 0.5000 x2  6 Se 3.08
3 Se 0.2260 0.5000 0.1776 x4  3 Ru 2.58